[1]
The following is a DFT calculation (PBE-GGA) of an optimized crystal structure of Tb2TmHg3.

a b c (Å): 3.7139 3.7139 11.1693
angles (deg): 90.00 90.00 90.00
Space group P4/mmm (No. 123)
One atom of each set of equivalent atoms:
Tb  0.0000  0.0000  0.1686
Tm  0.0000  0.0000  0.5000
Hg  0.5000  0.5000  0.0000
Hg  0.5000  0.5000  0.3390

Results
**Magnetic moment**: 0.35 μB per formula unit
**Calculated formation energy**: -0.4790 eV/atom
**VASP energy**: -17.5 eV per cell



[2]
The following is a DFT calculation (PBE-GGA) of an optimized crystal structure of Hf2BH.

a b c (Å): 4.6679 4.6679 11.1877
angles (deg): 90.00 90.00 90.00
Space group I-42d (No. 122)
One atom of each set of equivalent atoms:
Hf  0.2363  0.2500  0.1250
B  0.0000  0.0000  0.5000
H  0.0000  0.0000  0.0000

Results
**Magnetic moment**: 0.00 μB per formula unit
**ΔE to the lowest computed polymorph**: 586 meV per atom
**VASP energy**: -117.4 eV per cell



[3]
The following is a DFT calculation (PBE-GGA) of an optimized crystal structure of TcRhS2N.

a b c (Å): 4.7267 4.7267 3.6618
angles (deg): 90.00 90.00 90.00
Space group P4/mmm (No. 123)
One atom of each set of equivalent atoms:
Tc  0.0000  0.0000  0.0000
Rh  0.5000  0.5000  0.5000
S  0.0000  0.5000  0.0000
N  0.0000  0.0000  0.5000

Results
**Magnetic moment**: 0.33 μB per formula unit
**Uncorrected formation energy**: 0.66 eV/atom
**ΔE to the lowest computed polymorph**: 0 meV per atom
**VASP energy**: -31.0 eV per cell